*w*
Computed, not measured: a relaxed NaCrGe crystal at the PBE-GGA level of DFT.

The structure in CIF format:
```
data_NaCrGe
_chemical_formula_sum 'Na4 Cr4 Ge4'
_cell_length_a 3.894
_cell_length_b 2.937
_cell_length_c 21.036
_cell_angle_alpha 90.00
_cell_angle_beta 90.00
_cell_angle_gamma 90.00
_space_group_name_H-M_alt 'A m m 2'
_space_group_IT_number 38
_space_group_name_Hall 'A 2 -2'
loop_
_atom_site_label
_atom_site_type_symbol
_atom_site_fract_x
_atom_site_fract_y
_atom_site_fract_z
Na1 Na 0.000 0.000 0.000
Na2 Na 0.500 0.000 0.364
Cr1 Cr 0.500 0.000 0.122
Cr2 Cr 0.500 0.000 0.216
Ge1 Ge 0.000 0.000 0.635
Ge2 Ge 0.000 0.000 0.768
```

Output
Magnetization ... 0.01 μB per atom
Volume ... 20.049 Å³/atom
Mass density ... 4.1 g/cm³
Crystal system ... orthorhombic



*x*
Computed, not measured: a relaxed NaCrGe crystal at the PBE-GGA level of DFT.

The structure in CIF format:
```
data_NaCrGe
_chemical_formula_sum 'Na4 Cr4 Ge4'
_cell_length_a 22.151
_cell_length_b 3.912
_cell_length_c 2.807
_cell_angle_alpha 90.00
_cell_angle_beta 96.62
_cell_angle_gamma 90.00
_space_group_name_H-M_alt 'C 1 2/m 1'
_space_group_IT_number 12
_space_group_name_Hall '-C 2y'
loop_
_atom_site_label
_atom_site_type_symbol
_atom_site_fract_x
_atom_site_fract_y
_atom_site_fract_z
Na1 Na 0.182 0.000 0.186
Cr1 Cr 0.043 0.000 0.049
Ge1 Ge 0.080 0.500 0.584
```

Output
Magnetization ... 0.00 μB per atom
Volume ... 20.137 Å³/atom
Mass density ... 4.1 g/cm³
Crystal system ... monoclinic



Quick one: most stable of them? *w*



*w*
Computed, not measured: a relaxed NaCrGe crystal at the PBE-GGA level of DFT.

The structure in CIF format:
```
data_NaCrGe
_chemical_formula_sum 'Na4 Cr4 Ge4'
_cell_length_a 3.508
_cell_length_b 3.508
_cell_length_c 17.682
_cell_angle_alpha 90.00
_cell_angle_beta 90.00
_cell_angle_gamma 90.00
_space_group_name_H-M_alt 'I 4/m m m'
_space_group_IT_number 139
_space_group_name_Hall '-I 4 2'
loop_
_atom_site_label
_atom_site_type_symbol
_atom_site_fract_x
_atom_site_fract_y
_atom_site_fract_z
Na1 Na 0.000 0.000 0.186
Cr1 Cr 0.000 0.500 0.000
Ge1 Ge 0.000 0.000 0.396
```

Output
Magnetization ... 0.00 μB per atom
Volume ... 18.135 Å³/atom
Mass density ... 4.5 g/cm³
Crystal system ... tetragonal



*x*
Computed, not measured: a relaxed NaCrGe crystal at the PBE-GGA level of DFT.

The structure in CIF format:
```
data_NaCrGe
_chemical_formula_sum 'Na2 Cr2 Ge2'
_cell_length_a 2.908
_cell_length_b 5.000
_cell_length_c 8.148
_cell_angle_alpha 72.39
_cell_angle_beta 86.93
_cell_angle_gamma 80.93
_space_group_name_H-M_alt 'P -1'
_space_group_IT_number 2
_space_group_name_Hall '-P 1'
loop_
_atom_site_label
_atom_site_type_symbol
_atom_site_fract_x
_atom_site_fract_y
_atom_site_fract_z
Na1 Na 0.011 0.311 0.377
Cr1 Cr 0.086 0.803 0.998
Ge1 Ge 0.498 0.873 0.245
```

Output
Magnetization ... 0.01 μB per atom
Volume ... 18.579 Å³/atom
Mass density ... 4.4 g/cm³
Crystal system ... triclinic



Quick one: most stable of them? *w*



*w*
Computed, not measured: a relaxed NaCr3Ge crystal at the PBE-GGA level of DFT.

The structure in CIF format:
```
data_NaCr3Ge
_chemical_formula_sum 'Na1 Cr3 Ge1'
_cell_length_a 4.877
_cell_length_b 4.877
_cell_length_c 4.877
_cell_angle_alpha 90.00
_cell_angle_beta 90.00
_cell_angle_gamma 90.00
_space_group_name_H-M_alt 'P m -3 m'
_space_group_IT_number 221
_space_group_name_Hall '-P 4 2 3'
loop_
_atom_site_label
_atom_site_type_symbol
_atom_site_fract_x
_atom_site_fract_y
_atom_site_fract_z
Na1 Na 0.000 0.000 0.000
Cr1 Cr 0.000 0.000 0.500
Ge1 Ge 0.500 0.500 0.500
```

Output
Magnetization ... 2.63 μB per atom
Volume ... 23.195 Å³/atom
Mass density ... 3.6 g/cm³
Crystal system ... cubic



*x*
Computed, not measured: a relaxed NaCr3Ge crystal at the PBE-GGA level of DFT.

The structure in CIF format:
```
data_NaCr3Ge
_chemical_formula_sum 'Na1 Cr3 Ge1'
_cell_length_a 4.914
_cell_length_b 4.914
_cell_length_c 4.914
_cell_angle_alpha 90.00
_cell_angle_beta 90.00
_cell_angle_gamma 90.00
_space_group_name_H-M_alt 'P m -3 m'
_space_group_IT_number 221
_space_group_name_Hall '-P 4 2 3'
loop_
_atom_site_label
_atom_site_type_symbol
_atom_site_fract_x
_atom_site_fract_y
_atom_site_fract_z
Na1 Na 0.000 0.000 0.000
Cr1 Cr 0.000 0.500 0.500
Ge1 Ge 0.500 0.500 0.500
```

Output
Magnetization ... 2.59 μB per atom
Volume ... 23.738 Å³/atom
Mass density ... 3.5 g/cm³
Crystal system ... cubic



Quick one: most stable of them? *x*



*w*
Computed, not measured: a relaxed NaCrGe2 crystal at the PBE-GGA level of DFT.

The structure in CIF format:
```
data_NaCrGe2
_chemical_formula_sum 'Na4 Cr4 Ge8'
_cell_length_a 6.651
_cell_length_b 6.651
_cell_length_c 6.651
_cell_angle_alpha 90.00
_cell_angle_beta 90.00
_cell_angle_gamma 90.00
_space_group_name_H-M_alt 'F m -3 m'
_space_group_IT_number 225
_space_group_name_Hall '-F 4 2 3'
loop_
_atom_site_label
_atom_site_type_symbol
_atom_site_fract_x
_atom_site_fract_y
_atom_site_fract_z
Na1 Na 0.000 0.000 0.000
Cr1 Cr 0.000 0.000 0.500
Ge1 Ge 0.250 0.250 0.250
```

Output
Magnetization ... 0.94 μB per atom
Volume ... 18.392 Å³/atom
Mass density ... 5.0 g/cm³
Crystal system ... cubic



*x*
Computed, not measured: a relaxed NaCrGe2 crystal at the PBE-GGA level of DFT.

The structure in CIF format:
```
data_NaCrGe2
_chemical_formula_sum 'Na3 Cr3 Ge6'
_cell_length_a 2.9837
_cell_length_b 2.9837
_cell_length_c 26.8038
_cell_angle_alpha 90.00
_cell_angle_beta 90.00
_cell_angle_gamma 120.00
_space_group_name_H-M_alt 'R -3 m'
_space_group_IT_number 166
_space_group_name_Hall '-R 3 2"'
loop_
_atom_site_label
_atom_site_type_symbol
_atom_site_fract_x
_atom_site_fract_y
_atom_site_fract_z
Na1 Na 0.0000 0.0000 0.0000
Cr1 Cr 0.0000 0.0000 0.5000
Ge1 Ge 0.0000 0.0000 0.2383
```

Output
Magnetization ... 0.32 μB per atom
Volume ... 17.221 Å³/atom
Mass density ... 5.3 g/cm³
Crystal system ... trigonal



Quick one: most stable of them? *x*



*w*
Computed, not measured: a relaxed NaCrGeRh crystal at the PBE-GGA level of DFT.

The structure in CIF format:
```
data_NaCrGeRh
_chemical_formula_sum 'Na3 Cr3 Ge3 Rh3'
_cell_length_a 4.0244
_cell_length_b 4.0244
_cell_length_c 17.4819
_cell_angle_alpha 90.00
_cell_angle_beta 90.00
_cell_angle_gamma 120.00
_space_group_name_H-M_alt 'R 3 m'
_space_group_IT_number 160
_space_group_name_Hall 'R 3 -2"'
loop_
_atom_site_label
_atom_site_type_symbol
_atom_site_fract_x
_atom_site_fract_y
_atom_site_fract_z
Na1 Na 0.0000 0.0000 0.0000
Cr1 Cr 0.0000 0.0000 0.1839
Ge1 Ge 0.0000 0.0000 0.7989
Rh1 Rh 0.0000 0.0000 0.5443
```

Output
Magnetization ... 0.00 μB per atom
Volume ... 20.433 Å³/atom
Mass density ... 5.1 g/cm³
Crystal system ... trigonal



*x*
Computed, not measured: a relaxed NaCrGeRh crystal at the PBE-GGA level of DFT.

The structure in CIF format:
```
data_NaCrGeRh
_chemical_formula_sum 'Na1 Cr1 Ge1 Rh1'
_cell_length_a 3.038
_cell_length_b 3.038
_cell_length_c 7.905
_cell_angle_alpha 90.00
_cell_angle_beta 90.00
_cell_angle_gamma 90.00
_space_group_name_H-M_alt 'P 4 m m'
_space_group_IT_number 99
_space_group_name_Hall 'P 4 -2'
loop_
_atom_site_label
_atom_site_type_symbol
_atom_site_fract_x
_atom_site_fract_y
_atom_site_fract_z
Na1 Na 0.000 0.000 0.000
Cr1 Cr 0.500 0.500 0.675
Ge1 Ge 0.500 0.500 0.287
Rh1 Rh 0.000 0.000 0.473
```

Output
Magnetization ... 1.05 μB per atom
Volume ... 18.234 Å³/atom
Mass density ... 5.7 g/cm³
Crystal system ... tetragonal



Quick one: most stable of them? *x*